Below is Ho5Tm6Mg2 after structural relaxation, with properties calculated at the GGA-PBE level.

Output
The value obtained for the energy relative to the elements is 147 meV/atom. For the total DFT energy (no corrections), the calculation gives -101.994 eV for the cell shown.

a b c (Å): 10.2116 22.1642 3.5188
angles (deg): 90.00 90.00 90.00
With the nearest neighbours (Å) after each atom.
Space group Pbam (No. 55)
Asymmetric unit:
Ho (0.0000, 0.0000, 0.0000)  4 Ho 3.41-3.52, 6 Tm 3.45-3.47
Ho (0.0774, 0.2518, 0.0000)  4 Mg 3.10-3.12
Ho (0.1664, 0.5064, 0.0000)  4 Ho 3.41-3.52, 7 Tm 3.50-3.62
Tm (0.0213, 0.3876, 0.5000)  1 Mg 3.42, 6 Ho 3.50-3.53, 4 Tm 3.52-3.65
Tm (0.1417, 0.1184, 0.5000)  1 Mg 3.27, 6 Ho 3.47-3.62, 4 Tm 3.52-3.65
Tm (0.1691, 0.8655, 0.0000)  2 Mg 3.32, 4 Ho 3.45-3.62, 6 Tm 3.52-3.65
Mg (0.1721, 0.7386, 0.5000)  4 Ho 3.10-3.12, 4 Tm 3.27-3.42